A relaxed structure of CdIr2Rh, computed with PBEsol.

Structure (POSCAR):
```
CdIr2Rh
1.0
2.711 0.004 0.000
-0.123 4.737 0.000
-1.294 -2.370 4.710
Cd Rh Ir
1 1 2
Direct
0.000 0.500 0.000
0.500 0.000 0.000
0.500 0.500 0.500
0.000 0.000 0.500
```

Results
E_tot: -0.5082 Ry/atom
Space group: C2/m, No. 12
Energy of formation: 31.9 kJ per mole of atoms